Here is an optimized crystal structure of HfCrNO2 from Alexandria. Energies are from PBE+U.

DOS(E_F) = 0.3 states/eV per cell
E_tot = -8.33 eV per atom
crystal system = tetragonal

Cell: 3.7037 3.7037 3.9408 Å, 90.00 90.00 90.00°
Space group P4/mmm (No. 123)
Asymmetric unit:
Hf: 0.0000 0.0000 0.0000
Cr: 0.5000 0.5000 0.5000
N: 0.5000 0.5000 0.0000
O: 0.0000 0.5000 0.5000